AlHgOs2 | PBE-GGA | optimized geometry

formation enthalpy at 0 K = 516 meV/atom
E above lowest polymorph = 316 meV per atom

Structure (POSCAR):
```
AlHgOs2
1.0
5.462 0.012 0.008
2.744 4.722 -0.008
-3.564 -3.301 2.496
Os Hg Al
2 1 1
Direct
0.021 0.021 0.000 Os
0.252 0.752 0.500 Os
0.746 0.246 0.500 Hg
0.480 0.480 0.000 Al
```

LiNdMgPd | PBE-GGA | optimized geometry

formation enthalpy at 0 K = -391 meV/atom

Structure (POSCAR):
```
LiNdMgPd
1.0
4.927 0.000 0.000
2.464 4.267 0.000
2.464 1.422 4.023
Mg Nd Pd Li
1 1 1 1
Direct
0.250 0.250 0.250 Mg
0.750 0.750 0.750 Nd
0.500 0.500 0.500 Pd
0.000 0.000 0.000 Li
```

BiSbAu3 | PBE-GGA | optimized geometry

raw formation energy = 0.766 eV/atom
E above lowest polymorph = 750 meV per atom

Structure (POSCAR):
```
BiSbAu3
1.0
5.364 0.000 0.000
0.000 5.364 0.000
0.000 0.000 5.364
Sb Au Bi
1 3 1
Direct
0.500 0.500 0.500 Sb
0.000 0.500 0.000 Au
0.000 0.000 0.500 Au
0.500 0.000 0.000 Au
0.000 0.000 0.000 Bi
```

Eu4Cd2Cl | PBE-GGA | optimized geometry

raw formation energy = -0.515 eV/atom

Structure (POSCAR):
```
Eu4Cd2Cl
1.0
5.508 0.000 0.000
0.000 5.508 0.000
-2.754 -2.754 8.167
Eu Cl Cd
4 1 2
Direct
0.812 0.812 0.624 Eu
0.188 0.188 0.376 Eu
0.000 0.500 0.000 Eu
0.500 0.000 0.000 Eu
0.000 0.000 0.000 Cl
0.615 0.615 0.230 Cd
0.385 0.385 0.770 Cd
```

RePBr | PBE-GGA | optimized geometry

raw formation energy = 0.418 eV/atom
E above lowest polymorph = 204 meV per atom

Structure (POSCAR):
```
RePBr
1.0
6.604 -0.014 0.000
5.226 4.038 0.000
-5.915 -2.012 2.140
Br P Re
1 1 1
Direct
0.033 0.033 0.000 Br
0.285 0.285 0.000 P
0.682 0.682 0.000 Re
```

Ba3SmPt2O9 | PBE-GGA | optimized geometry

raw formation energy = -1.902 eV/atom

Structure (POSCAR):
```
Ba3SmPt2O9
1.0
5.946 0.000 0.000
-2.973 5.149 0.000
0.000 0.000 7.363
Ba Sm Pt O
3 1 2 9
Direct
0.333 0.667 0.686 Ba
0.000 0.000 0.000 Ba
0.667 0.333 0.314 Ba
0.000 0.000 0.500 Sm
0.333 0.667 0.161 Pt
0.667 0.333 0.839 Pt
0.823 0.177 0.682 O
0.823 0.646 0.682 O
0.354 0.177 0.682 O
0.646 0.823 0.318 O
0.177 0.354 0.318 O
0.177 0.823 0.318 O
0.500 0.000 0.000 O
0.000 0.500 0.000 O
0.500 0.500 0.000 O
```

AcYLuGa | PBE-GGA | optimized geometry

formation enthalpy at 0 K = 80 meV/atom

Structure (POSCAR):
```
AcYLuGa
1.0
-0.861 -3.731 3.900
4.187 -1.843 2.991
0.423 1.403 5.265
Y Ac Lu Ga
1 1 1 1
Direct
0.750 0.750 0.750 Y
0.500 0.500 0.500 Ac
0.250 0.250 0.250 Lu
0.000 0.000 0.000 Ga
```

LaIrI2O | PBE-GGA | optimized geometry

raw formation energy = -0.528 eV/atom
E above lowest polymorph = 0 meV per atom

Structure (POSCAR):
```
LaIrI2O
1.0
5.832 0.000 0.000
0.000 5.832 0.000
0.000 0.000 3.791
I Ir O La
2 1 1 1
Direct
0.000 0.500 0.000 I
0.500 0.000 0.000 I
0.000 0.000 0.000 Ir
0.000 0.000 0.500 O
0.500 0.500 0.500 La
```

One value per record, in order, for D(E_F): 3.1; 3.9; 4.9; 25.4; 3.2; 14.1; 7.1; 4.8 states/eV per cell.